No. 1
Here is a geometry-optimized Ca2AcNiH8 structure from Alexandria via LeMat-Bulk. Energies are from PBE. Values from VASP.

Results
Electronic total energy   -45.81 eV per formula unit
M_tot   0.000 μB/f.u.

Cell and atoms, written as Quantum ESPRESSO input:
```
&SYSTEM
  ibrav = 0, nat = 12, ntyp = 4
/
ATOMIC_SPECIES
H 1.01 H.upf
Ca 40.08 Ca.upf
Ni 58.69 Ni.upf
Ac 227.00 Ac.upf
CELL_PARAMETERS angstrom
-4.0893 2.2784 1.2367
2.8148 -1.9503 3.4228
3.4192 5.8529 0.5231
ATOMIC_POSITIONS crystal
H 0.3130 0.1565 0.8448
Ca 0.6667 0.3333 0.1223
H 0.6667 0.3333 0.4490
H 0.6870 0.8435 0.1552
H 0.1565 0.8435 0.1552
H 0.8435 0.6870 0.8448
Ni 0.0000 0.0000 0.0000
H 0.8435 0.1565 0.8448
H 0.1565 0.3130 0.1552
Ca 0.3333 0.6667 0.8777
Ac 0.0000 0.0000 0.5000
H 0.3333 0.6667 0.5510
```

***

No. 2
Here is a geometry-optimized CaAcNi2H8 structure from Alexandria via LeMat-Bulk. Energies are from PBE. Values from VASP.

Results
Electronic total energy   -47.01 eV per formula unit
M_tot   0.000 μB/f.u.

Cell and atoms, written as Quantum ESPRESSO input:
```
&SYSTEM
  ibrav = 0, nat = 12, ntyp = 4
/
ATOMIC_SPECIES
H 1.01 H.upf
Ni 58.69 Ni.upf
Ac 227.00 Ac.upf
Ca 40.08 Ca.upf
CELL_PARAMETERS angstrom
4.9359 0.0000 0.0000
2.4680 4.2746 0.0000
2.4680 1.4249 6.1725
ATOMIC_POSITIONS crystal
H 0.0745 0.4598 0.8225
Ni 0.7352 0.7352 0.7944
H 0.5402 0.3569 0.1775
Ac 0.5000 0.5000 0.5000
H 0.6431 0.0745 0.8225
H 0.9255 0.5402 0.1775
H 0.4598 0.6431 0.8225
H 0.3569 0.9255 0.1775
H 0.8179 0.8179 0.5464
H 0.1821 0.1821 0.4536
Ca 0.0000 0.0000 0.0000
Ni 0.2648 0.2648 0.2056
```

***

No. 3
Here is a geometry-optimized Ca4Ac2H2Pb3 structure from Alexandria via LeMat-Bulk. Energies are from PBE. Values from VASP.

Results
Electronic total energy   -40.04 eV per formula unit
M_tot   0.000 μB/f.u.

Cell and atoms, written as Quantum ESPRESSO input:
```
&SYSTEM
  ibrav = 0, nat = 11, ntyp = 4
/
ATOMIC_SPECIES
H 1.01 H.upf
Ca 40.08 Ca.upf
Ac 227.00 Ac.upf
Pb 207.20 Pb.upf
CELL_PARAMETERS angstrom
4.9331 0.0000 0.0000
0.0000 4.9331 0.0000
-2.4666 -2.4666 13.2585
ATOMIC_POSITIONS crystal
H 0.5965 0.5965 0.1930
Ca 0.0773 0.5773 0.1546
Ac 0.3041 0.3041 0.6082
Pb 0.8298 0.8298 0.6596
Ca 0.5773 0.0773 0.1546
Pb 0.0000 0.0000 0.0000
Ca 0.4227 0.9227 0.8454
Ca 0.9227 0.4227 0.8454
Ac 0.6959 0.6959 0.3918
Pb 0.1702 0.1702 0.3404
H 0.4035 0.4035 0.8069
```

***

No. 4
Here is a geometry-optimized CaAcH8Pd2 structure from Alexandria via LeMat-Bulk. Energies are from PBE. Values from VASP.

Results
Electronic total energy   -46.10 eV per formula unit
M_tot   0.000 μB/f.u.

Cell and atoms, written as Quantum ESPRESSO input:
```
&SYSTEM
  ibrav = 0, nat = 12, ntyp = 4
/
ATOMIC_SPECIES
Ac 227.00 Ac.upf
H 1.01 H.upf
Pd 106.42 Pd.upf
Ca 40.08 Ca.upf
CELL_PARAMETERS angstrom
4.6018 0.0000 0.0000
2.3009 3.9853 0.0000
2.3009 1.3284 7.7449
ATOMIC_POSITIONS crystal
Ac 0.5000 0.5000 0.5000
H 0.9873 0.5382 0.9362
Pd 0.7494 0.7494 0.7518
Ca 0.0000 0.0000 0.0000
H 0.5382 0.5382 0.9362
H 0.0127 0.4618 0.0638
H 0.1768 0.1768 0.4695
H 0.4618 0.4618 0.0638
H 0.4618 0.0127 0.0638
H 0.8232 0.8232 0.5305
H 0.5382 0.9873 0.9362
Pd 0.2506 0.2506 0.2482
```

***

No. 5
Here is a geometry-optimized CaAcH6Rh2 structure from Alexandria via LeMat-Bulk. Energies are from PBE. Values from VASP.

Results
Electronic total energy   -45.04 eV per formula unit
M_tot   0.000 μB/f.u.

Cell and atoms, written as Quantum ESPRESSO input:
```
&SYSTEM
  ibrav = 0, nat = 10, ntyp = 4
/
ATOMIC_SPECIES
Rh 102.91 Rh.upf
H 1.01 H.upf
Ac 227.00 Ac.upf
Ca 40.08 Ca.upf
CELL_PARAMETERS angstrom
-3.4845 -3.4608 0.9593
0.9553 -3.6766 3.2572
-2.7679 0.6693 5.4111
ATOMIC_POSITIONS crystal
Rh 0.7917 0.7917 0.6250
H 0.9661 0.4224 0.1891
Ac 0.0000 0.0000 0.0000
Ca 0.5000 0.5000 0.5000
Rh 0.2083 0.2083 0.3750
H 0.0339 0.5776 0.8109
H 0.4224 0.4224 0.1891
H 0.5776 0.0339 0.8109
H 0.4224 0.9661 0.1891
H 0.5776 0.5776 0.8109
```

***

No. 6
Here is a geometry-optimized CaAc2H12Rh3 structure from Alexandria via LeMat-Bulk. Energies are from PBE. Values from VASP.

Results
Electronic total energy   -79.32 eV per formula unit
M_tot   0.000 μB/f.u.

Cell and atoms, written as Quantum ESPRESSO input:
```
&SYSTEM
  ibrav = 0, nat = 18, ntyp = 4
/
ATOMIC_SPECIES
Rh 102.91 Rh.upf
H 1.01 H.upf
Ca 40.08 Ca.upf
Ac 227.00 Ac.upf
CELL_PARAMETERS angstrom
6.2357 -0.2570 -0.1823
2.8561 5.5491 -0.1823
2.8561 1.6625 5.2974
ATOMIC_POSITIONS crystal
Rh 0.0000 0.0000 0.5000
H 0.4101 0.8731 0.8731
H 0.1269 0.5899 0.1269
H 0.1269 0.1269 0.5899
Rh 0.5000 0.0000 0.0000
H 0.7105 0.7105 0.1082
H 0.1082 0.7105 0.7105
Ca 0.0000 0.0000 0.0000
Ac 0.6144 0.6144 0.6144
H 0.2895 0.8918 0.2895
H 0.7105 0.1082 0.7105
H 0.8731 0.4101 0.8731
H 0.2895 0.2895 0.8918
H 0.8731 0.8731 0.4101
Ac 0.3856 0.3856 0.3856
H 0.5899 0.1269 0.1269
H 0.8918 0.2895 0.2895
Rh 0.0000 0.5000 0.0000
```

***

No. 7
Here is a geometry-optimized CaAcH8Rh2 structure from Alexandria via LeMat-Bulk. Energies are from PBE. Values from VASP.

Results
Electronic total energy   -51.54 eV per formula unit
M_tot   0.078 μB/f.u.

Cell and atoms, written as Quantum ESPRESSO input:
```
&SYSTEM
  ibrav = 0, nat = 12, ntyp = 4
/
ATOMIC_SPECIES
H 1.01 H.upf
Rh 102.91 Rh.upf
Ac 227.00 Ac.upf
Ca 40.08 Ca.upf
CELL_PARAMETERS angstrom
5.1061 0.0000 0.0000
2.5531 4.4220 0.0000
2.5531 1.4740 5.8790
ATOMIC_POSITIONS crystal
H 0.7955 0.7955 0.6135
H 0.9019 0.5689 0.1360
H 0.2045 0.2045 0.3865
Rh 0.6953 0.6953 0.9141
H 0.4311 0.6068 0.8640
H 0.5689 0.3932 0.1360
Ac 0.5000 0.5000 0.5000
H 0.6068 0.0981 0.8640
Ca 0.0000 0.0000 0.0000
H 0.0981 0.4311 0.8640
Rh 0.3047 0.3047 0.0859
H 0.3932 0.9019 0.1360
```

***

No. 8
Here is a geometry-optimized Ca2AcH8Ru structure from Alexandria via LeMat-Bulk. Energies are from PBE. Values from VASP.

Results
Electronic total energy   -50.17 eV per formula unit
M_tot   0.000 μB/f.u.

Cell and atoms, written as Quantum ESPRESSO input:
```
&SYSTEM
  ibrav = 0, nat = 12, ntyp = 4
/
ATOMIC_SPECIES
H 1.01 H.upf
Ac 227.00 Ac.upf
Ca 40.08 Ca.upf
Ru 101.07 Ru.upf
CELL_PARAMETERS angstrom
4.8980 0.0000 0.0000
-2.4490 4.2418 0.0000
0.0000 0.0000 6.9970
ATOMIC_POSITIONS crystal
H 0.8401 0.6802 0.8446
H 0.6667 0.3333 0.4553
Ac 0.0000 0.0000 0.5000
H 0.3198 0.1599 0.8446
H 0.6802 0.8401 0.1554
H 0.8401 0.1599 0.8446
H 0.1599 0.8401 0.1554
H 0.1599 0.3198 0.1554
Ca 0.3333 0.6667 0.8671
Ru 0.0000 0.0000 0.0000
Ca 0.6667 0.3333 0.1329
H 0.3333 0.6667 0.5447
```

***

No. 9
Here is a geometry-optimized CaAc2H6Ru structure from Alexandria via LeMat-Bulk. Energies are from PBE. Values from VASP.

Results
Electronic total energy   -43.37 eV per formula unit
M_tot   0.000 μB/f.u.

Cell and atoms, written as Quantum ESPRESSO input:
```
&SYSTEM
  ibrav = 0, nat = 10, ntyp = 4
/
ATOMIC_SPECIES
Ca 40.08 Ca.upf
H 1.01 H.upf
Ac 227.00 Ac.upf
Ru 101.07 Ru.upf
CELL_PARAMETERS angstrom
6.5322 0.0000 0.0000
0.0000 5.2924 0.0000
0.0000 -2.6462 4.5834
ATOMIC_POSITIONS crystal
Ca 0.5000 0.0000 0.0000
H 0.1596 0.3078 0.1539
H 0.8404 0.1539 0.3078
Ac 0.8014 0.6667 0.3333
Ac 0.1986 0.3333 0.6667
H 0.8404 0.1539 0.8461
H 0.8404 0.6922 0.8461
Ru 0.0000 0.0000 0.0000
H 0.1596 0.8461 0.1539
H 0.1596 0.8461 0.6922
```

***

No. 10
Here is a geometry-optimized CaAcSbH structure from Alexandria via LeMat-Bulk. Energies are from PBE. Values from VASP.

Results
Electronic total energy   -15.40 eV per formula unit
M_tot   0.538 μB/f.u.

Cell and atoms, written as Quantum ESPRESSO input:
```
&SYSTEM
  ibrav = 0, nat = 4, ntyp = 4
/
ATOMIC_SPECIES
Sb 121.76 Sb.upf
H 1.01 H.upf
Ca 40.08 Ca.upf
Ac 227.00 Ac.upf
CELL_PARAMETERS angstrom
5.3778 0.0000 0.0000
2.6889 4.6574 0.0000
2.6889 1.5525 4.3910
ATOMIC_POSITIONS crystal
Sb 0.7500 0.7500 0.7500
H 0.2500 0.2500 0.2500
Ca 0.0000 0.0000 0.0000
Ac 0.5000 0.5000 0.5000
```

***

No. 11
Here is a geometry-optimized Ca4Ac2Sb3H2 structure from Alexandria via LeMat-Bulk. Energies are from PBE. Values from VASP.

Results
Electronic total energy   -44.68 eV per formula unit
M_tot   0.000 μB/f.u.

Cell and atoms, written as Quantum ESPRESSO input:
```
&SYSTEM
  ibrav = 0, nat = 11, ntyp = 4
/
ATOMIC_SPECIES
Sb 121.76 Sb.upf
Ca 40.08 Ca.upf
Ac 227.00 Ac.upf
H 1.01 H.upf
CELL_PARAMETERS angstrom
4.8461 0.0000 0.0000
0.0000 4.8461 0.0000
-2.4231 -2.4231 12.9028
ATOMIC_POSITIONS crystal
Sb 0.1677 0.1677 0.3353
Ca 0.4208 0.9208 0.8415
Ac 0.3005 0.3005 0.6010
Ca 0.5792 0.0792 0.1585
Sb 0.0000 0.0000 0.0000
H 0.5958 0.5958 0.1916
Ca 0.0792 0.5792 0.1585
H 0.4042 0.4042 0.8084
Ac 0.6995 0.6995 0.3990
Ca 0.9208 0.4208 0.8415
Sb 0.8323 0.8323 0.6647
```

***

No. 12
Here is a geometry-optimized Ca2AcHf structure from Alexandria via LeMat-Bulk. Energies are from PBE. Values from VASP.

Results
DFT formation energy   589.7 meV per atom
M_tot   0.687 μB/f.u.

Cell and atoms, written as Quantum ESPRESSO input:
```
&SYSTEM
  ibrav = 0, nat = 4, ntyp = 3
/
ATOMIC_SPECIES
Ca 40.08 Ca.upf
Hf 178.49 Hf.upf
Ac 227.00 Ac.upf
CELL_PARAMETERS angstrom
-2.1709 1.3498 -2.4397
0.2531 -1.0492 -3.3648
-9.2387 -9.4935 0.4096
ATOMIC_POSITIONS crystal
Ca 0.0816 0.0816 0.7553
Hf 0.0000 0.0000 0.0000
Ac 0.5000 0.5000 0.5000
Ca 0.9184 0.9184 0.2447
```

***

Repeat the third record exactly.
Here is a geometry-optimized Ca4Ac2H2Pb3 structure from Alexandria via LeMat-Bulk. Energies are from PBE. Values from VASP.

Results
Electronic total energy   -40.04 eV per formula unit
M_tot   0.000 μB/f.u.

Cell and atoms, written as Quantum ESPRESSO input:
```
&SYSTEM
  ibrav = 0, nat = 11, ntyp = 4
/
ATOMIC_SPECIES
H 1.01 H.upf
Ca 40.08 Ca.upf
Ac 227.00 Ac.upf
Pb 207.20 Pb.upf
CELL_PARAMETERS angstrom
4.9331 0.0000 0.0000
0.0000 4.9331 0.0000
-2.4666 -2.4666 13.2585
ATOMIC_POSITIONS crystal
H 0.5965 0.5965 0.1930
Ca 0.0773 0.5773 0.1546
Ac 0.3041 0.3041 0.6082
Pb 0.8298 0.8298 0.6596
Ca 0.5773 0.0773 0.1546
Pb 0.0000 0.0000 0.0000
Ca 0.4227 0.9227 0.8454
Ca 0.9227 0.4227 0.8454
Ac 0.6959 0.6959 0.3918
Pb 0.1702 0.1702 0.3404
H 0.4035 0.4035 0.8069
```